(1)
{
  "formula": "Ho12In6Au",
  "functional": "PBE-GGA",
  "state": "relaxed",
  "formation_energy_ev_per_atom": -0.080,
  "magmom_total_mub_per_fu": 0.000,
  "n_ef_per_ev_cell": 20.39,
  "cell": [[8.749, -0.098, -0.118], [-1.423, 8.633, -0.118], [-1.423, -1.658, 8.473]],
  "species": ["Ho", "Ho", "Ho", "Ho", "Ho", "Ho", "Ho", "Ho", "Ho", "Ho", "Ho", "Ho", "In", "In", "In", "In", "In", "In", "Au"],
  "fractional_positions": [[0.818, 0.570, 0.433], [0.433, 0.818, 0.570], [0.570, 0.433, 0.818], [0.182, 0.430, 0.567], [0.567, 0.182, 0.430], [0.430, 0.567, 0.182], [0.061, 0.959, 0.318], [0.041, 0.682, 0.939], [0.682, 0.939, 0.041], [0.939, 0.041, 0.682], [0.959, 0.318, 0.061], [0.318, 0.061, 0.959], [0.697, 0.865, 0.377], [0.623, 0.303, 0.135], [0.135, 0.623, 0.303], [0.303, 0.135, 0.623], [0.377, 0.697, 0.865], [0.865, 0.377, 0.697], [0.000, 0.000, 0.000]]
}

***

(2)
{
  "formula": "Ho3In2Au2",
  "functional": "PBE-GGA",
  "state": "relaxed",
  "formation_energy_ev_per_atom": -0.652,
  "magmom_total_mub_per_fu": 0.000,
  "n_ef_per_ev_cell": 5.62,
  "cell": [[-3.788, -1.430, 1.860], [1.446, 0.323, 3.193], [-5.478, 9.541, 1.517]],
  "species": ["Ho", "Ho", "Ho", "In", "In", "Au", "Au"],
  "fractional_positions": [[0.834, 0.000, 0.331], [0.000, 0.000, 0.000], [0.166, 0.000, 0.669], [0.577, 0.500, 0.845], [0.423, 0.500, 0.155], [0.711, 0.500, 0.578], [0.289, 0.500, 0.422]]
}

***

(3)
{
  "formula": "Ho2InAu8",
  "functional": "PBE-GGA",
  "state": "relaxed",
  "formation_energy_ev_per_atom": -0.506,
  "magmom_total_mub_per_fu": 0.000,
  "n_ef_per_ev_cell": 3.55,
  "cell": [[4.944, 0.000, 0.000], [0.000, 7.045, -0.194], [-2.472, -3.142, 6.563]],
  "species": ["Ho", "Ho", "In", "Au", "Au", "Au", "Au", "Au", "Au", "Au", "Au"],
  "fractional_positions": [[0.791, 0.314, 0.582], [0.209, 0.686, 0.418], [0.500, 0.000, 0.000], [0.380, 0.568, 0.759], [0.641, 0.848, 0.283], [0.839, 0.834, 0.678], [0.994, 0.290, 0.989], [0.161, 0.166, 0.322], [0.359, 0.152, 0.717], [0.620, 0.432, 0.241], [0.006, 0.710, 0.011]]
}

***

(4)
{
  "formula": "Ho3In4Au2",
  "functional": "PBE-GGA",
  "state": "relaxed",
  "formation_energy_ev_per_atom": -0.569,
  "magmom_total_mub_per_fu": 0.000,
  "n_ef_per_ev_cell": 4.58,
  "cell": [[-2.572, 3.998, -0.664], [-3.161, 1.658, 4.876], [4.483, 6.371, 3.646]],
  "species": ["Ho", "Ho", "Ho", "In", "In", "In", "In", "Au", "Au"],
  "fractional_positions": [[0.325, 0.700, 0.650], [0.000, 0.000, 0.000], [0.675, 0.300, 0.350], [0.265, 0.393, 0.076], [0.735, 0.607, 0.924], [0.031, 0.302, 0.636], [0.969, 0.698, 0.364], [0.397, 0.933, 0.274], [0.603, 0.067, 0.726]]
}

***

(5)
{
  "formula": "Ho4InAu",
  "functional": "PBE-GGA",
  "state": "relaxed",
  "formation_energy_ev_per_atom": -0.450,
  "magmom_total_mub_per_fu": 0.000,
  "n_ef_per_ev_cell": 9.81,
  "polymorph_energy_ev_per_atom": 0.000,
  "cell": [[-3.020, -0.467, 4.419], [-1.802, -6.384, -1.906], [9.303, -2.865, 0.801]],
  "species": ["Ho", "Ho", "Ho", "Ho", "Ho", "Ho", "Ho", "Ho", "In", "In", "Au", "Au"],
  "fractional_positions": [[0.620, 0.250, 0.438], [0.380, 0.750, 0.562], [0.661, 0.250, 0.885], [0.339, 0.750, 0.115], [0.942, 0.009, 0.244], [0.058, 0.509, 0.756], [0.942, 0.491, 0.244], [0.058, 0.991, 0.756], [0.316, 0.250, 0.080], [0.684, 0.750, 0.920], [0.231, 0.250, 0.561], [0.769, 0.750, 0.439]]
}

***

(6)
{
  "formula": "Ho5InAu2",
  "functional": "PBE-GGA",
  "state": "relaxed",
  "formation_energy_ev_per_atom": -0.575,
  "magmom_total_mub_per_fu": 0.000,
  "n_ef_per_ev_cell": 21.82,
  "cell": [[7.266, 0.000, -3.430], [-1.619, 7.083, -3.430], [-0.352, -0.441, 8.666]],
  "species": ["Ho", "Ho", "Ho", "Ho", "Ho", "Ho", "Ho", "Ho", "Ho", "Ho", "In", "In", "Au", "Au", "Au", "Au"],
  "fractional_positions": [[0.513, 0.699, 0.713], [0.801, 0.987, 0.287], [0.000, 0.000, 0.000], [0.500, 0.500, 0.000], [0.199, 0.013, 0.713], [0.699, 0.199, 0.713], [0.013, 0.513, 0.713], [0.301, 0.801, 0.287], [0.987, 0.487, 0.287], [0.487, 0.301, 0.287], [0.750, 0.750, 0.500], [0.250, 0.250, 0.500], [0.136, 0.364, 0.000], [0.636, 0.136, 0.000], [0.364, 0.864, 0.000], [0.864, 0.636, 0.000]]
}

***

(7)
{
  "formula": "HoInAu3",
  "functional": "PBE-GGA",
  "state": "relaxed",
  "formation_energy_ev_per_atom": -0.536,
  "magmom_total_mub_per_fu": 0.000,
  "n_ef_per_ev_cell": 4.47,
  "cell": [[4.699, 0.000, 0.929], [0.000, 7.432, 0.000], [1.202, 0.000, 6.515]],
  "species": ["Ho", "Ho", "In", "In", "Au", "Au", "Au", "Au", "Au", "Au"],
  "fractional_positions": [[0.632, 0.750, 0.230], [0.368, 0.250, 0.770], [0.353, 0.750, 0.787], [0.647, 0.250, 0.213], [0.174, 0.992, 0.150], [0.826, 0.008, 0.850], [0.174, 0.508, 0.150], [0.826, 0.492, 0.850], [0.989, 0.750, 0.513], [0.011, 0.250, 0.487]]
}

***

(8)
{
  "formula": "Ho4InAu",
  "functional": "PBE-GGA",
  "state": "relaxed",
  "formation_energy_ev_per_atom": -0.221,
  "magmom_total_mub_per_fu": 0.000,
  "n_ef_per_ev_cell": 11.55,
  "polymorph_energy_ev_per_atom": 0.229,
  "cell": [[6.869, 0.000, -0.177], [0.000, 7.366, 0.000], [-0.285, 0.000, 7.418]],
  "species": ["Ho", "Ho", "Ho", "Ho", "Ho", "Ho", "Ho", "Ho", "In", "In", "Au", "Au"],
  "fractional_positions": [[0.888, 0.647, 0.166], [0.612, 0.147, 0.834], [0.324, 0.333, 0.342], [0.176, 0.833, 0.658], [0.112, 0.353, 0.834], [0.388, 0.853, 0.166], [0.676, 0.667, 0.658], [0.824, 0.167, 0.342], [0.000, 0.000, 0.000], [0.500, 0.500, 0.000], [0.500, 0.000, 0.500], [0.000, 0.500, 0.500]]
}

***

(9)
{
  "formula": "Ho8InAu2",
  "functional": "PBE-GGA",
  "state": "relaxed",
  "formation_energy_ev_per_atom": -0.313,
  "magmom_total_mub_per_fu": 0.000,
  "n_ef_per_ev_cell": 14.86,
  "cell": [[5.408, -0.154, -0.231], [-1.118, 8.152, -0.351], [-1.118, -3.463, 7.388]],
  "species": ["Ho", "Ho", "Ho", "Ho", "Ho", "Ho", "Ho", "Ho", "In", "Au", "Au"],
  "fractional_positions": [[0.909, 0.912, 0.671], [0.909, 0.671, 0.912], [0.304, 0.605, 0.605], [0.500, 0.767, 0.233], [0.500, 0.233, 0.767], [0.696, 0.395, 0.395], [0.091, 0.329, 0.088], [0.091, 0.088, 0.329], [0.500, 0.000, 0.000], [0.000, 0.304, 0.696], [0.000, 0.696, 0.304]]
}

***

(10)
{
  "formula": "HoInAu",
  "functional": "PBE-GGA",
  "state": "relaxed",
  "formation_energy_ev_per_atom": -0.549,
  "magmom_total_mub_per_fu": 0.000,
  "n_ef_per_ev_cell": 1.31,
  "cell": [[-2.202, -1.571, -2.184], [2.645, -1.784, -1.383], [-1.046, -2.544, 5.651]],
  "species": ["Au", "Ho", "In"],
  "fractional_positions": [[0.285, 0.285, 0.571], [0.935, 0.935, 0.871], [0.629, 0.629, 0.259]]
}

***

(11)
{
  "formula": "Ho7In2Au2",
  "functional": "PBE-GGA",
  "state": "relaxed",
  "formation_energy_ev_per_atom": -0.305,
  "magmom_total_mub_per_fu": 0.000,
  "n_ef_per_ev_cell": 11.06,
  "cell": [[-4.522, 4.002, -3.393], [-3.208, -5.821, -2.590], [-2.699, -1.291, 6.247]],
  "species": ["Ho", "Ho", "Ho", "Ho", "Ho", "Ho", "Ho", "In", "In", "Au", "Au"],
  "fractional_positions": [[0.000, 0.262, 0.500], [0.500, 0.738, 0.000], [0.000, 0.738, 0.500], [0.500, 0.262, 0.000], [0.000, 0.000, 0.000], [0.500, 0.749, 0.500], [0.500, 0.251, 0.500], [0.826, 0.500, 0.826], [0.174, 0.500, 0.174], [0.709, 0.000, 0.291], [0.291, 0.000, 0.709]]
}

***

(12)
{
  "formula": "Ho6In3Au",
  "functional": "PBE-GGA",
  "state": "relaxed",
  "formation_energy_ev_per_atom": -0.431,
  "magmom_total_mub_per_fu": 0.000,
  "n_ef_per_ev_cell": 19.16,
  "cell": [[5.244, 0.000, 0.000], [0.000, 8.703, -2.911], [0.000, 0.093, 11.684]],
  "species": ["Ho", "Ho", "Ho", "Ho", "Ho", "Ho", "Ho", "Ho", "Ho", "Ho", "Ho", "Ho", "In", "In", "In", "In", "In", "In", "Au", "Au"],
  "fractional_positions": [[0.250, 0.465, 0.086], [0.750, 0.535, 0.914], [0.250, 0.138, 0.167], [0.750, 0.862, 0.833], [0.250, 0.670, 0.666], [0.750, 0.330, 0.334], [0.250, 0.227, 0.496], [0.750, 0.773, 0.504], [0.250, 0.850, 0.317], [0.750, 0.150, 0.683], [0.250, 0.102, 0.874], [0.750, 0.898, 0.126], [0.250, 0.523, 0.379], [0.750, 0.477, 0.621], [0.250, 0.383, 0.781], [0.750, 0.617, 0.219], [0.250, 0.776, 0.967], [0.750, 0.224, 0.033], [0.250, 0.961, 0.616], [0.750, 0.039, 0.384]]
}